GGA-PBE CuO, relaxed; total magnetic moment = 0.0 μB/f.u.; volume = 34 Å³/f.u.; E = -4.53 eV/atom; energy relative to the elements, uncorrected = 0.0 eV per formula unit
1.0
5.392 -0.201 3.732
-6.500 -0.626 -0.623
1.278 -5.729 -2.930
O Cu
4 4
direct
0.000 0.732 0.732 O
0.000 0.268 0.268 O
0.732 0.000 0.732 O
0.268 0.000 0.268 O
0.836 0.164 0.000 Cu
0.164 0.836 0.000 Cu
0.836 0.836 0.671 Cu
0.164 0.164 0.329 Cu